Entry 1:
# AcCeGePd

A relaxed AcCeGePd crystal (PBE, Alexandria via LeMat-Bulk).

Values from the calculation:
As for the total moment: 1.18 μB per cell. For the total DFT energy (no corrections), the calculation gives -5.55 eV/atom. For the volume, the calculation gives 26.45 A^3/atom.

Cell: 5.309 5.309 5.309 Å, 60.00 60.00 60.00°
Last column: magnetic moment on the atom in μB.
Positions (direct):
Ac  0.500  0.500  0.500  0.05
Ge  0.250  0.250  0.250  -0.02
Pd  0.750  0.750  0.750  -0.01
Ce  0.000  0.000  0.000  0.94


Entry 2:
# Dy3Y4HoS8

A relaxed Dy3Y4HoS8 crystal (PBE, Alexandria via LeMat-Bulk).

Values from the calculation:
As for the total moment: 0.00 μB per cell. For the volume, the calculation gives 21.14 A^3/atom. For the formation energy without anion corrections, the calculation gives -1.9880 eV/atom.

Cell: 7.819 7.820 7.820 Å, 119.99 120.00 90.00°
Positions (direct):
Dy  0.500  0.500  0.000
Dy  0.500  0.500  0.500
Dy  0.000  0.500  0.500
Y  0.500  0.000  0.000
Y  0.500  0.000  0.500
Y  0.000  0.000  0.000
Y  0.000  0.000  0.500
Ho  0.000  0.500  0.000
S  0.249  0.748  0.999
S  0.249  0.748  0.498
S  0.250  0.251  0.501
S  0.750  0.748  0.999
S  0.250  0.252  0.001
S  0.750  0.749  0.499
S  0.751  0.252  0.502
S  0.751  0.252  0.001


Entry 3:
# Tl6In7

A relaxed Tl6In7 crystal (PBE, Alexandria via LeMat-Bulk).

Values from the calculation:
As for the total moment: 0.00 μB per cell. For the total DFT energy (no corrections), the calculation gives -2.54 eV/atom. For the volume, the calculation gives 29.75 A^3/atom.

Cell: 6.351 6.351 11.662 Å, 74.20 74.20 60.00°
Positions (direct):
Tl  0.835  0.835  0.496
Tl  0.165  0.165  0.504
Tl  0.652  0.652  0.043
Tl  0.348  0.348  0.957
Tl  0.548  0.548  0.355
Tl  0.452  0.452  0.645
In  0.000  0.000  0.000
In  0.909  0.414  0.767
In  0.414  0.909  0.767
In  0.909  0.909  0.767
In  0.091  0.091  0.233
In  0.091  0.586  0.233
In  0.586  0.091  0.233